1.
Material: MnGe2Au
Method: DFT, PBE
State: optimized geometry

Cell and atoms, written as POSCAR:
```
MnGe2Au
1.0
4.152 0.000 0.000
0.000 4.152 0.000
0.000 0.000 16.963
Mn Ge Au
4 8 4
Cartesian
0.000 0.000 0.000
0.000 2.076 4.241
2.076 0.000 12.722
2.076 2.076 8.481
0.925 1.038 2.120
1.038 3.002 6.361
1.038 3.227 14.842
1.151 1.038 10.602
3.002 3.114 10.602
3.114 0.925 14.842
3.114 1.151 6.361
3.227 3.114 2.120
0.000 0.000 8.481
0.000 2.076 12.722
2.076 0.000 4.241
2.076 2.076 0.000
```

Properties
Symmetry ... I-42d
ΔE to the lowest computed polymorph ... 0 meV/atom
Energy of formation from the pure elements ... 122 meV/atom


2.
Material: LiMn2InC
Method: DFT, PBE
State: optimized geometry

Cell and atoms, written as POSCAR:
```
LiMn2InC
1.0
3.856 0.000 0.000
0.000 3.856 0.000
0.000 0.000 4.185
Li Mn In C
1 2 1 1
Cartesian
0.000 0.000 0.000
0.000 1.928 2.092
1.928 0.000 2.092
1.928 1.928 0.000
0.000 0.000 2.092
```

Properties
Symmetry ... P4/mmm
Energy of formation from the pure elements ... -15 meV/atom


3.
Material: TbTh5Sc
Method: DFT, PBE
State: optimized geometry

Cell and atoms, written as POSCAR:
```
TbTh5Sc
1.0
5.691 -3.227 0.000
5.691 3.227 0.000
-3.032 0.000 12.255
Tb Th Sc
2 10 2
Cartesian
3.418 1.690 9.191
4.933 -1.690 3.064
0.603 0.118 8.352
2.119 -0.118 2.224
4.933 1.523 3.064
0.830 0.082 11.647
2.345 -0.082 5.520
6.006 0.082 6.735
7.521 -0.082 0.608
3.418 -1.523 9.191
6.232 0.118 10.031
7.748 -0.118 3.903
0.000 0.000 0.000
-1.516 0.000 6.128
```

Properties
Symmetry ... C2/c
Energy of formation from the pure elements ... 236 meV/atom


4.
Material: CaTlCr2
Method: DFT, PBE
State: optimized geometry

Cell and atoms, written as POSCAR:
```
CaTlCr2
1.0
6.303 0.000 0.000
0.000 10.112 0.000
-1.508 0.000 2.950
Ca Tl Cr
2 2 4
Cartesian
0.000 0.000 0.000
3.152 5.056 0.000
0.000 5.056 0.000
3.152 0.000 0.000
0.822 2.528 1.475
0.822 7.584 1.475
3.974 2.528 1.475
3.974 7.584 1.475
```

Properties
Symmetry ... C2/m
ΔE to the lowest computed polymorph ... 456 meV/atom
Energy of formation from the pure elements ... 736 meV/atom


5.
Material: Pm2ThCd
Method: DFT, PBE
State: optimized geometry

Cell and atoms, written as POSCAR:
```
Pm2ThCd
1.0
3.607 0.000 0.000
-1.804 3.124 0.000
0.000 0.000 33.378
Pm Th Cd
6 3 3
Cartesian
0.000 0.000 0.000
0.000 0.000 5.888
0.000 2.083 22.252
0.000 2.083 28.140
1.804 1.041 11.126
1.804 1.041 17.014
0.000 0.000 25.194
0.000 2.083 14.068
1.804 1.041 2.942
0.000 0.000 19.637
0.000 2.083 8.511
1.804 1.041 30.763
```

Properties
Symmetry ... R3m
ΔE to the lowest computed polymorph ... 140 meV/atom
Energy of formation from the pure elements ... -26 meV/atom


6.
Material: NaTm2Al
Method: DFT, PBE
State: optimized geometry

Cell and atoms, written as POSCAR:
```
NaTm2Al
1.0
3.494 0.000 0.000
0.000 3.494 0.000
0.000 0.000 9.079
Na Tm Al
1 2 1
Cartesian
0.000 0.000 0.000
1.747 1.747 2.751
1.747 1.747 6.328
0.000 0.000 4.540
```

Properties
Symmetry ... P4/mmm
ΔE to the lowest computed polymorph ... 0 meV/atom
Energy of formation from the pure elements ... -55 meV/atom


7.
Material: GdSiS2
Method: DFT, PBE
State: optimized geometry

Cell and atoms, written as POSCAR:
```
GdSiS2
1.0
3.492 0.000 0.000
-1.746 3.025 0.000
0.000 0.000 24.345
Gd Si S
3 3 6
Cartesian
0.000 0.000 0.000
0.000 2.016 16.230
1.746 1.008 8.115
0.000 0.000 12.172
0.000 2.016 4.057
1.746 1.008 20.287
0.000 0.000 2.726
0.000 0.000 21.619
0.000 2.016 13.504
0.000 2.016 18.955
1.746 1.008 5.389
1.746 1.008 10.841
```

Properties
Symmetry ... R-3m


8.
Material: AgSn3Cl
Method: DFT, PBE
State: optimized geometry

Cell and atoms, written as POSCAR:
```
AgSn3Cl
1.0
5.368 0.000 0.000
0.000 5.368 0.000
0.000 0.000 5.368
Ag Sn Cl
1 3 1
Cartesian
0.000 0.000 0.000
0.000 2.684 2.684
2.684 0.000 2.684
2.684 2.684 0.000
2.684 2.684 2.684
```

Properties
Symmetry ... Pm-3m
ΔE to the lowest computed polymorph ... 232 meV/atom


9.
Material: Ce6Ir2Au
Method: DFT, PBE
State: optimized geometry

Cell and atoms, written as POSCAR:
```
Ce6Ir2Au
1.0
6.582 0.000 0.000
0.000 7.321 0.000
-6.322 0.000 9.877
Ce Ir Au
12 4 2
Cartesian
-2.260 1.445 4.162
-5.421 2.215 9.101
-1.055 4.668 4.377
-4.216 6.313 9.316
1.272 0.489 2.287
-1.889 3.171 7.226
2.149 4.149 2.652
-1.013 6.832 7.590
4.475 1.008 0.562
1.314 2.652 5.500
5.681 5.105 0.777
2.520 5.876 5.715
-3.449 0.887 7.104
-0.288 2.773 2.166
0.548 4.547 7.712
3.709 6.434 2.773
0.130 0.000 4.939
3.291 3.660 0.000
```

Properties
Symmetry ... P2_1/c
ΔE to the lowest computed polymorph ... 141 meV/atom
Energy of formation from the pure elements ... -388 meV/atom


10.
Material: AcGd2Ga
Method: DFT, PBE
State: optimized geometry

Cell and atoms, written as POSCAR:
```
AcGd2Ga
1.0
4.927 0.000 0.000
0.000 4.927 0.000
0.000 0.000 4.957
Ac Gd Ga
1 2 1
Cartesian
0.000 0.000 0.000
0.000 2.463 2.479
2.463 0.000 2.479
2.463 2.463 0.000
```

Properties
Symmetry ... P4/mmm
ΔE to the lowest computed polymorph ... 90 meV/atom
Energy of formation from the pure elements ... -173 meV/atom


11.
Material: La2Mn2Pd
Method: DFT, PBE
State: optimized geometry

Cell and atoms, written as POSCAR:
```
La2Mn2Pd
1.0
6.845 0.000 0.000
0.000 6.845 0.000
0.000 0.000 4.430
La Mn Pd
4 4 2
Cartesian
1.288 2.134 0.000
2.134 5.557 0.000
4.711 1.288 0.000
5.557 4.711 0.000
0.701 4.124 2.215
2.721 0.701 2.215
4.124 6.144 2.215
6.144 2.721 2.215
0.000 0.000 2.215
3.423 3.423 2.215
```

Properties
Symmetry ... P4/mbm
Energy of formation from the pure elements ... 90 meV/atom


12.
Material: CeSnPd
Method: DFT, PBE
State: optimized geometry

Cell and atoms, written as POSCAR:
```
CeSnPd
1.0
7.584 0.000 0.000
-3.792 6.568 0.000
0.000 0.000 4.191
Ce Sn Pd
3 3 3
Cartesian
-2.224 3.852 0.000
1.568 2.716 0.000
4.448 0.000 0.000
-0.954 1.652 2.095
1.907 0.000 2.095
2.838 4.916 2.095
0.000 0.000 0.000
0.000 4.379 2.095
3.792 2.189 2.095
```

Properties
Symmetry ... P-62m
Energy of formation from the pure elements ... -821 meV/atom


13.
Material: TlAg5Pd3
Method: DFT, PBE
State: optimized geometry

Cell and atoms, written as POSCAR:
```
TlAg5Pd3
1.0
6.736 -4.115 0.000
6.736 4.115 0.000
-0.030 0.000 7.237
Tl Ag Pd
2 10 6
Cartesian
2.061 0.000 1.671
11.381 0.000 5.567
5.126 2.672 1.819
3.901 0.000 6.642
8.316 2.672 5.418
6.736 1.335 0.000
5.883 0.000 4.690
7.559 0.000 2.547
6.736 -1.335 0.000
5.126 -2.672 1.819
9.541 0.000 0.596
8.316 -2.672 5.418
0.000 0.000 0.000
-0.015 0.000 3.619
3.318 0.000 3.973
4.951 0.000 1.899
8.491 0.000 5.339
10.124 0.000 3.265
```

Properties
Symmetry ... C2/m
Energy of formation from the pure elements ... 245 meV/atom


14.
Material: PmNd2ErSe5
Method: DFT, PBE
State: optimized geometry

Cell and atoms, written as POSCAR:
```
PmNd2ErSe5
1.0
5.100 0.000 0.000
0.000 5.100 0.000
0.000 0.000 10.913
Pm Nd Er Se
1 2 1 5
Cartesian
0.000 0.000 0.000
2.550 2.550 3.549
2.550 2.550 7.364
0.000 0.000 5.456
0.000 0.000 2.731
0.000 0.000 8.182
0.000 2.550 5.456
2.550 0.000 5.456
2.550 2.550 0.000
```

Properties
Symmetry ... P4/mmm


15.
Material: RbCa2WS
Method: DFT, PBE
State: optimized geometry

Cell and atoms, written as POSCAR:
```
RbCa2WS
1.0
5.703 0.000 0.000
0.000 5.703 0.000
0.000 0.000 4.571
Rb Ca W S
1 2 1 1
Cartesian
0.000 0.000 0.000
0.000 2.852 2.286
2.852 0.000 2.286
2.852 2.852 0.000
2.852 2.852 2.286
```

Properties
Symmetry ... P4/mmm


16.
Material: Cs2Sc2Te2S
Method: DFT, PBE
State: optimized geometry

Cell and atoms, written as POSCAR:
```
Cs2Sc2Te2S
1.0
4.991 0.000 0.000
0.000 4.991 0.000
0.000 0.000 19.462
Cs Sc Te S
4 4 4 2
Cartesian
0.000 0.000 3.457
0.000 0.000 16.005
2.496 2.496 6.274
2.496 2.496 13.188
0.000 2.496 0.000
0.000 2.496 9.731
2.496 0.000 0.000
2.496 0.000 9.731
0.000 0.000 7.781
0.000 0.000 11.681
2.496 2.496 1.950
2.496 2.496 17.512
0.000 0.000 0.000
2.496 2.496 9.731
```

Properties
Symmetry ... I4/mmm


17.
Material: SrLaI3
Method: DFT, PBE
State: optimized geometry

Cell and atoms, written as POSCAR:
```
SrLaI3
1.0
6.279 0.000 0.000
0.000 6.279 0.000
0.000 0.000 6.279
Sr La I
1 1 3
Cartesian
0.000 0.000 0.000
3.140 3.140 3.140
0.000 3.140 3.140
3.140 0.000 3.140
3.140 3.140 0.000
```

Properties
Symmetry ... Pm-3m


18.
Material: Cs2HfGaS4
Method: DFT, PBE
State: optimized geometry

Cell and atoms, written as POSCAR:
```
Cs2HfGaS4
1.0
0.000 7.210 12.639
3.246 0.000 12.639
3.246 7.210 0.000
Cs Hf Ga S
4 2 2 8
Cartesian
2.434 5.407 1.340
4.057 9.012 7.660
2.434 5.407 17.619
4.057 9.012 23.938
0.811 1.802 3.160
5.680 12.617 22.119
2.434 5.407 9.479
4.057 9.012 15.799
2.406 3.093 4.405
4.086 6.698 10.725
2.463 7.722 4.405
2.463 3.093 14.554
4.029 11.327 10.725
4.029 6.698 20.873
2.406 7.722 14.554
4.086 11.327 20.873
```

Properties
Symmetry ... Fddd


19.
Material: InSiMo2
Method: DFT, PBE
State: optimized geometry

Cell and atoms, written as POSCAR:
```
InSiMo2
1.0
2.981 0.000 0.000
-1.490 2.581 0.000
0.000 0.000 26.000
In Si Mo
3 3 6
Cartesian
0.000 0.000 0.000
0.000 1.721 17.334
1.490 0.860 8.667
0.000 0.000 13.000
0.000 1.721 4.333
1.490 0.860 21.667
0.000 0.000 6.290
0.000 0.000 19.711
0.000 1.721 11.044
0.000 1.721 23.623
1.490 0.860 2.377
1.490 0.860 14.956
```

Properties
Symmetry ... R-3m
ΔE to the lowest computed polymorph ... 206 meV/atom


20.
Material: Sc2AgPd2
Method: DFT, PBE
State: optimized geometry

Cell and atoms, written as POSCAR:
```
Sc2AgPd2
1.0
4.497 0.000 0.000
0.000 4.497 0.000
0.000 0.000 10.583
Sc Ag Pd
4 2 4
Cartesian
0.000 2.249 2.646
0.000 2.249 7.937
2.249 0.000 2.646
2.249 0.000 7.937
0.000 0.000 0.000
2.249 2.249 5.292
0.000 0.000 4.032
0.000 0.000 6.552
2.249 2.249 1.260
2.249 2.249 9.323
```

Properties
Symmetry ... I4/mmm
ΔE to the lowest computed polymorph ... 336 meV/atom
Energy of formation from the pure elements ... -362 meV/atom


21.
Material: Cd2PH
Method: DFT, PBE
State: optimized geometry

Cell and atoms, written as POSCAR:
```
Cd2PH
1.0
6.433 0.000 0.000
0.000 6.433 0.000
0.000 0.000 6.433
Cd P H
8 4 4
Cartesian
1.608 1.608 1.608
1.608 1.608 4.825
1.608 4.825 1.608
1.608 4.825 4.825
4.825 1.608 1.608
4.825 1.608 4.825
4.825 4.825 1.608
4.825 4.825 4.825
0.000 0.000 0.000
0.000 3.217 3.217
3.217 0.000 3.217
3.217 3.217 0.000
0.000 0.000 3.217
0.000 3.217 0.000
3.217 0.000 0.000
3.217 3.217 3.217
```

Properties
Symmetry ... Fm-3m
ΔE to the lowest computed polymorph ... 217 meV/atom


22.
Material: K2BF4
Method: DFT, PBE
State: optimized geometry

Cell and atoms, written as POSCAR:
```
K2BF4
1.0
6.315 0.000 0.000
0.000 6.315 0.000
0.000 0.000 8.931
K B F
4 2 8
Cartesian
0.000 3.157 2.233
0.000 3.157 6.698
3.157 0.000 2.233
3.157 0.000 6.698
0.000 0.000 0.000
3.157 3.157 4.465
0.822 0.822 0.823
0.822 5.493 8.108
2.335 2.335 5.288
2.335 3.979 3.643
3.979 2.335 3.643
3.979 3.979 5.288
5.493 0.822 8.108
5.493 5.493 0.823
```

Properties
Symmetry ... I-42m


23.
Material: Pr6TlAs2Se3
Method: DFT, PBE
State: optimized geometry

Cell and atoms, written as POSCAR:
```
Pr6TlAs2Se3
1.0
9.459 -2.150 0.000
9.459 2.150 0.000
-1.996 0.000 8.520
Pr Tl As Se
6 1 2 3
Cartesian
-0.479 0.000 2.239
5.404 0.000 3.603
4.426 0.000 7.729
12.496 0.000 0.791
11.519 0.000 4.917
17.402 0.000 6.281
9.459 0.000 0.000
2.503 0.000 2.854
14.419 0.000 5.666
1.487 0.000 7.088
8.461 0.000 4.260
15.435 0.000 1.433
```

Properties
Symmetry ... C2/m


24.
Material: Ca4AgN2
Method: DFT, PBE
State: optimized geometry

Cell and atoms, written as POSCAR:
```
Ca4AgN2
1.0
1.854 -6.175 0.000
1.854 6.175 0.000
0.000 0.000 12.904
Ca Ag N
8 2 4
Cartesian
0.000 0.000 0.000
0.000 0.000 6.452
1.854 3.015 7.684
1.854 3.015 11.672
1.854 1.000 3.226
1.854 -1.000 9.678
1.854 -3.015 1.232
1.854 -3.015 5.220
1.854 4.707 3.226
1.854 -4.707 9.678
1.854 1.684 0.842
1.854 1.684 5.610
1.854 -1.684 7.294
1.854 -1.684 12.062
```

Properties
Symmetry ... Cmcm


25.
Material: YW3
Method: DFT, PBE
State: optimized geometry

Cell and atoms, written as POSCAR:
```
YW3
1.0
2.705 0.000 0.000
0.000 4.683 0.000
0.000 0.000 5.869
Y W
1 3
Cartesian
0.000 0.000 0.000
0.000 2.341 4.108
1.353 0.000 2.916
1.353 2.341 1.425
```

Properties
Symmetry ... Pmm2
ΔE to the lowest computed polymorph ... 350 meV/atom
Energy of formation from the pure elements ... 738 meV/atom


no.,DFT total energy (eV/cell),theoretical density (g/cm3),volume (Å³ per cell)
1,-84.8,9.02,292.5
2,-32.3,6.50,62.2
3,-92.8,10.06,450.1
4,-41.3,6.15,188.0
5,-53.8,8.40,376.1
6,-14.2,5.81,110.9
7,-89.0,4.83,257.1
8,-14.1,5.36,154.7
9,-120.2,9.92,475.9
10,-36.0,8.43,120.3
11,-65.9,7.91,207.6
12,-52.8,8.72,208.8
13,-60.0,8.80,401.2
14,-48.0,5.82,283.9
15,-20.6,4.26,148.7
16,-66.6,4.40,484.8
17,-16.1,4.07,247.6
18,-81.0,3.61,591.6
19,-86.5,8.34,200.1
20,-55.4,6.37,214.0
21,-35.7,6.41,266.2
22,-67.6,1.54,356.1
23,-68.7,6.88,346.6
24,-63.1,3.33,295.4
25,-42.4,14.30,74.3